A plane-wave DFT calculation with GGA-PBE was carried out for a geometry-optimized AcPm5YTm2 structure.

Computed properties:
Mass density   7.2 g/cm³
Formation energy from the elements   1.34 eV per formula unit
Total moment   0.0 Bohr magnetons per cell
Raw total energy   -4.659 eV/atom
SG   Cmc2_1 (36)

abc: 12.3816 12.3816 9.5267
angles: 90.00 90.00 154.11
With the nearest neighbours (Å) after each atom.
Sites, in units of the cell vectors:
1 Ac 0.1027 0.8973 0.5000  5 Pm 3.41-3.74
2 Ac 0.8973 0.1027 0.0000  5 Pm 3.41-3.74
3 Pm 0.0251 0.9749 0.1702  3 Pm 3.29-3.55, 2 Ac 3.48-3.66, 2 Tm 3.50
4 Pm 0.1058 0.8942 0.8920  4 Pm 3.29-3.63, 4 Tm 3.49-3.61
5 Pm 0.1882 0.8118 0.2000  3 Tm 3.35-3.39, 3 Y 3.48-3.50, 4 Pm 3.49-3.74, 1 Ac 3.53
6 Pm 0.2412 0.7588 0.5690  3 Y 3.14-3.25, 1 Ac 3.41, 2 Pm 3.49
7 Pm 0.4909 0.5091 0.3864  2 Tm 3.42-3.79, 4 Pm 3.55-3.63
8 Pm 0.5091 0.4909 0.8864  2 Tm 3.42-3.79, 4 Pm 3.55-3.63
9 Pm 0.7588 0.2412 0.0690  3 Y 3.14-3.25, 1 Ac 3.41, 2 Pm 3.49
10 Pm 0.8118 0.1882 0.7000  3 Tm 3.35-3.39, 3 Y 3.48-3.50, 4 Pm 3.49-3.74, 1 Ac 3.53
11 Pm 0.8942 0.1058 0.3920  4 Pm 3.29-3.63, 4 Tm 3.49-3.61
12 Pm 0.9749 0.0251 0.6702  3 Pm 3.29-3.55, 2 Ac 3.48-3.66, 2 Tm 3.50
13 Y 0.2657 0.7343 0.8923  6 Pm 3.14-3.50
14 Y 0.7343 0.2657 0.3923  6 Pm 3.14-3.50
15 Tm 0.3255 0.6745 0.2544  6 Pm 3.35-3.66, 1 Y 3.74
16 Tm 0.3878 0.6122 0.6333  8 Pm 3.39-3.61
17 Tm 0.6122 0.3878 0.1333  8 Pm 3.39-3.61
18 Tm 0.6745 0.3255 0.7544  6 Pm 3.35-3.66, 1 Y 3.74

A plane-wave DFT calculation with GGA-PBE was carried out for a geometry-optimized AcPm5Y2Tm structure.

Computed properties:
Mass density   6.9 g/cm³
Formation energy from the elements   0.74 eV per formula unit
Total moment   0.0 Bohr magnetons per cell
Raw total energy   -4.946 eV/atom
SG   Cmc2_1 (36)

abc: 9.2354 9.2354 12.1707
angles: 90.00 90.00 143.22
With the nearest neighbours (Å) after each atom.
Sites, in units of the cell vectors:
1 Ac 0.1158 0.8842 0.5000  2 Y 3.55, 6 Pm 3.55-3.96, 2 Tm 3.77
2 Ac 0.8842 0.1158 0.0000  2 Y 3.55, 6 Pm 3.55-3.96, 2 Tm 3.77
3 Pm 0.0782 0.9218 0.8399  4 Pm 3.50-3.75, 1 Tm 3.56, 4 Y 3.56-3.82, 1 Ac 3.92
4 Pm 0.0795 0.9205 0.1630  4 Pm 3.50-3.83, 1 Tm 3.56, 4 Y 3.58-3.72
5 Pm 0.2664 0.7336 0.2946  3 Pm 3.16-3.50, 1 Y 3.26
6 Pm 0.2670 0.7330 0.7061  2 Pm 3.16, 2 Y 3.26-3.47
7 Pm 0.4381 0.5619 0.1477  3 Y 3.31-3.60, 1 Pm 3.50, 2 Ac 3.55
8 Pm 0.5619 0.4381 0.6477  3 Y 3.31-3.60, 1 Pm 3.50, 2 Ac 3.55
9 Pm 0.7330 0.2670 0.2061  2 Pm 3.16, 2 Y 3.26-3.47
10 Pm 0.7336 0.2664 0.7946  3 Pm 3.16-3.50, 1 Y 3.26
11 Pm 0.9205 0.0795 0.6630  4 Pm 3.50-3.83, 1 Tm 3.56, 4 Y 3.58-3.72
12 Pm 0.9218 0.0782 0.3399  4 Pm 3.50-3.75, 1 Tm 3.56, 4 Y 3.56-3.82, 1 Ac 3.92
13 Y 0.3858 0.6142 0.4999  7 Pm 3.26-3.58, 1 Y 3.58
14 Y 0.4374 0.5626 0.8519  3 Pm 3.31-3.60, 2 Ac 3.55, 1 Y 3.58
15 Y 0.5626 0.4374 0.3519  3 Pm 3.31-3.60, 2 Ac 3.55, 1 Y 3.58
16 Y 0.6142 0.3858 0.9999  7 Pm 3.26-3.58, 1 Y 3.58
17 Tm 0.2480 0.7520 0.0000  9 Pm 3.56-3.85, 3 Y 3.74-3.78, 2 Ac 3.77
18 Tm 0.7520 0.2480 0.5000  9 Pm 3.56-3.85, 3 Y 3.74-3.78, 2 Ac 3.77